First-principles (PBE) data for a relaxed structure of Pr2NdPaN4, as listed in Alexandria.

* crystal system: monoclinic
* raw formation energy: -11.78 eV/f.u.

```
data_Pr2NdPaN4
_chemical_formula_sum 'Pr2 Nd1 Pa1 N4'
_space_group_name_H-M_alt 'P 1 2/m 1'
_space_group_IT_number 10
_cell_length_a 6.2618
_cell_length_b 3.6268
_cell_length_c 6.2857
_cell_angle_alpha 90.00
_cell_angle_beta 109.13
_cell_angle_gamma 90.00
loop_
_space_group_symop_operation_xyz
'x,y,z'
'-x,-y,-z'
'-x,y,-z'
'x,-y,z'
loop_
_atom_site_label
_atom_site_type_symbol
_atom_site_fract_x
_atom_site_fract_y
_atom_site_fract_z
Pr1 Pr 0.0000 0.0000 0.0000
Pr2 Pr 0.5000 0.5000 0.0000
Nd1 Nd 0.0000 0.5000 0.5000
Pa1 Pa 0.5000 0.0000 0.5000
N1 N 0.2686 0.0000 0.7270
N2 N 0.2787 0.5000 0.2810
```

First-principles (PBE) data for a relaxed structure of NdPaPtN3, as listed in Alexandria.

* crystal system: monoclinic
* raw formation energy: -5.82 eV/f.u.

```
data_NdPaPtN3
_chemical_formula_sum 'Nd2 Pa2 Pt2 N6'
_space_group_name_H-M_alt 'P 1 21/m 1'
_space_group_IT_number 11
_cell_length_a 6.8045
_cell_length_b 3.4909
_cell_length_c 8.3532
_cell_angle_alpha 90.00
_cell_angle_beta 105.47
_cell_angle_gamma 90.00
loop_
_space_group_symop_operation_xyz
'x,y,z'
'-x,-y,-z'
'-x,y+1/2,-z'
'x,-y+1/2,z'
loop_
_atom_site_label
_atom_site_type_symbol
_atom_site_fract_x
_atom_site_fract_y
_atom_site_fract_z
Nd1 Nd 0.0683 0.2500 0.3102
Pa1 Pa 0.4256 0.7500 0.6660
Pt1 Pt 0.3510 0.7500 0.0194
N1 N 0.1880 0.2500 0.6296
N2 N 0.2658 0.2500 0.0987
N3 N 0.3583 0.7500 0.3920
```

First-principles (PBE) data for a relaxed structure of Nd2PuPaN5, as listed in Alexandria.

* crystal system: tetragonal
* raw formation energy: -10.48 eV/f.u.

```
data_Nd2PuPaN5
_chemical_formula_sum 'Nd2 Pu1 Pa1 N5'
_space_group_name_H-M_alt 'P 4/m m m'
_space_group_IT_number 123
_space_group_name_Hall '-P 4 2'
_cell_length_a 4.0611
_cell_length_b 4.0611
_cell_length_c 8.8844
_cell_angle_alpha 90.00
_cell_angle_beta 90.00
_cell_angle_gamma 90.00
loop_
_atom_site_label
_atom_site_type_symbol
_atom_site_fract_x
_atom_site_fract_y
_atom_site_fract_z
Nd1 Nd 0.0000 0.0000 0.2237
Pu1 Pu 0.5000 0.5000 0.0000
Pa1 Pa 0.5000 0.5000 0.5000
N1 N 0.0000 0.0000 0.5000
N2 N 0.0000 0.5000 0.0000
N3 N 0.5000 0.5000 0.2702
```

First-principles (PBE) data for a relaxed structure of Nd3Pu2PaN6, as listed in Alexandria.

* crystal system: monoclinic
* raw formation energy: -17.01 eV/f.u.

```
data_Nd3Pu2PaN6
_chemical_formula_sum 'Nd6 Pu4 Pa2 N12'
_space_group_name_H-M_alt 'C 1 2/m 1'
_space_group_IT_number 12
_cell_length_a 6.1694
_cell_length_b 10.6786
_cell_length_c 6.1843
_cell_angle_alpha 90.00
_cell_angle_beta 109.43
_cell_angle_gamma 90.00
loop_
_space_group_symop_operation_xyz
'x,y,z'
'-x,-y,-z'
'-x,y,-z'
'x,-y,z'
'x+1/2,y+1/2,z'
'-x+1/2,-y+1/2,-z'
'-x+1/2,y+1/2,-z'
'x+1/2,-y+1/2,z'
loop_
_atom_site_label
_atom_site_type_symbol
_atom_site_fract_x
_atom_site_fract_y
_atom_site_fract_z
Nd1 Nd 0.0000 0.0000 0.0000
Nd2 Nd 0.0000 0.3317 0.0000
Pu1 Pu 0.0000 0.1663 0.5000
Pa1 Pa 0.0000 0.5000 0.5000
N1 N 0.2363 0.3374 0.7216
N2 N 0.2482 0.0000 0.7219
```

First-principles (PBE) data for a relaxed structure of NdPu2PaN4, as listed in Alexandria.

* crystal system: monoclinic
* raw formation energy: -10.98 eV/f.u.

```
data_NdPu2PaN4
_chemical_formula_sum 'Nd1 Pu2 Pa1 N4'
_space_group_name_H-M_alt 'P 1 2/m 1'
_space_group_IT_number 10
_cell_length_a 6.0993
_cell_length_b 3.5377
_cell_length_c 6.1452
_cell_angle_alpha 90.00
_cell_angle_beta 110.01
_cell_angle_gamma 90.00
loop_
_space_group_symop_operation_xyz
'x,y,z'
'-x,-y,-z'
'-x,y,-z'
'x,-y,z'
loop_
_atom_site_label
_atom_site_type_symbol
_atom_site_fract_x
_atom_site_fract_y
_atom_site_fract_z
Nd1 Nd 0.0000 0.0000 0.0000
Pu1 Pu 0.5000 0.0000 0.5000
Pu2 Pu 0.5000 0.5000 0.0000
Pa1 Pa 0.0000 0.5000 0.5000
N1 N 0.2399 0.0000 0.7300
N2 N 0.2593 0.5000 0.2774
```

First-principles (PBE) data for a relaxed structure of NdPuPaN4, as listed in Alexandria.

* crystal system: tetragonal
* raw formation energy: -7.82 eV/f.u.

```
data_NdPuPaN4
_chemical_formula_sum 'Nd2 Pu2 Pa2 N8'
_space_group_name_H-M_alt 'I 4 m m'
_space_group_IT_number 107
_space_group_name_Hall 'I 4 -2'
_cell_length_a 3.8891
_cell_length_b 3.8891
_cell_length_c 14.2690
_cell_angle_alpha 90.00
_cell_angle_beta 90.00
_cell_angle_gamma 90.00
loop_
_atom_site_label
_atom_site_type_symbol
_atom_site_fract_x
_atom_site_fract_y
_atom_site_fract_z
Nd1 Nd 0.0000 0.0000 0.0000
Pu1 Pu 0.0000 0.0000 0.6657
Pa1 Pa 0.0000 0.0000 0.3218
N1 N 0.0000 0.0000 0.4802
N2 N 0.0000 0.0000 0.8493
N3 N 0.0000 0.5000 0.2185
```

First-principles (PBE) data for a relaxed structure of NdPuPa2N4, as listed in Alexandria.

* crystal system: monoclinic
* raw formation energy: -12.08 eV/f.u.

```
data_NdPuPa2N4
_chemical_formula_sum 'Nd1 Pu1 Pa2 N4'
_space_group_name_H-M_alt 'P 1 2/m 1'
_space_group_IT_number 10
_cell_length_a 6.1189
_cell_length_b 3.5447
_cell_length_c 6.1614
_cell_angle_alpha 90.00
_cell_angle_beta 109.69
_cell_angle_gamma 90.00
loop_
_space_group_symop_operation_xyz
'x,y,z'
'-x,-y,-z'
'-x,y,-z'
'x,-y,z'
loop_
_atom_site_label
_atom_site_type_symbol
_atom_site_fract_x
_atom_site_fract_y
_atom_site_fract_z
Nd1 Nd 0.0000 0.0000 0.0000
Pu1 Pu 0.0000 0.5000 0.5000
Pa1 Pa 0.5000 0.0000 0.5000
Pa2 Pa 0.5000 0.5000 0.0000
N1 N 0.2765 0.0000 0.7561
N2 N 0.2819 0.5000 0.2640
```

First-principles (PBE) data for a relaxed structure of Nd2PaRhN4, as listed in Alexandria.

* crystal system: orthorhombic
* raw formation energy: -7.79 eV/f.u.

```
data_Nd2PaRhN4
_chemical_formula_sum 'Nd8 Pa4 Rh4 N16'
_space_group_name_H-M_alt 'C m c m'
_space_group_IT_number 63
_space_group_name_Hall '-C 2c 2'
_cell_length_a 3.4347
_cell_length_b 11.7003
_cell_length_c 12.1005
_cell_angle_alpha 90.00
_cell_angle_beta 90.00
_cell_angle_gamma 90.00
loop_
_atom_site_label
_atom_site_type_symbol
_atom_site_fract_x
_atom_site_fract_y
_atom_site_fract_z
Nd1 Nd 0.0000 0.1291 0.0555
Pa1 Pa 0.0000 0.3865 0.2500
Rh1 Rh 0.0000 0.3515 0.7500
N1 N 0.0000 0.0318 0.2500
N2 N 0.0000 0.2076 0.6403
N3 N 0.0000 0.5000 0.0000
```

First-principles (PBE) data for a relaxed structure of NdPaRuN4, as listed in Alexandria.

* crystal system: tetragonal
* raw formation energy: -5.80 eV/f.u.

```
data_NdPaRuN4
_chemical_formula_sum 'Nd2 Pa2 Ru2 N8'
_space_group_name_H-M_alt 'I 4 m m'
_space_group_IT_number 107
_space_group_name_Hall 'I 4 -2'
_cell_length_a 3.8782
_cell_length_b 3.8782
_cell_length_c 12.2829
_cell_angle_alpha 90.00
_cell_angle_beta 90.00
_cell_angle_gamma 90.00
loop_
_atom_site_label
_atom_site_type_symbol
_atom_site_fract_x
_atom_site_fract_y
_atom_site_fract_z
Nd1 Nd 0.0000 0.0000 0.0000
Pa1 Pa 0.0000 0.0000 0.7148
Ru1 Ru 0.0000 0.0000 0.3528
N1 N 0.0000 0.0000 0.1838
N2 N 0.0000 0.0000 0.5409
N3 N 0.0000 0.5000 0.3430
```

First-principles (PBE) data for a relaxed structure of NdPa2RuN4, as listed in Alexandria.

* crystal system: orthorhombic
* raw formation energy: -9.94 eV/f.u.

```
data_NdPa2RuN4
_chemical_formula_sum 'Nd4 Pa8 Ru4 N16'
_space_group_name_H-M_alt 'C m c m'
_space_group_IT_number 63
_space_group_name_Hall '-C 2c 2'
_cell_length_a 3.4278
_cell_length_b 11.8532
_cell_length_c 11.7385
_cell_angle_alpha 90.00
_cell_angle_beta 90.00
_cell_angle_gamma 90.00
loop_
_atom_site_label
_atom_site_type_symbol
_atom_site_fract_x
_atom_site_fract_y
_atom_site_fract_z
Nd1 Nd 0.0000 0.1062 0.2500
Pa1 Pa 0.0000 0.3692 0.0586
Ru1 Ru 0.0000 0.1549 0.7500
N1 N 0.0000 0.0000 0.0000
N2 N 0.0000 0.2735 0.6092
N3 N 0.0000 0.4539 0.2500
```

First-principles (PBE) data for a relaxed structure of NdPaSN2, as listed in Alexandria.

* crystal system: tetragonal
* raw formation energy: -8.59 eV/f.u.

```
data_NdPaSN2
_chemical_formula_sum 'Nd2 Pa2 S2 N4'
_space_group_name_H-M_alt 'I 4 m m'
_space_group_IT_number 107
_space_group_name_Hall 'I 4 -2'
_cell_length_a 3.8932
_cell_length_b 3.8932
_cell_length_c 12.2501
_cell_angle_alpha 90.00
_cell_angle_beta 90.00
_cell_angle_gamma 90.00
loop_
_atom_site_label
_atom_site_type_symbol
_atom_site_fract_x
_atom_site_fract_y
_atom_site_fract_z
Nd1 Nd 0.0000 0.0000 0.0000
Pa1 Pa 0.0000 0.0000 0.3082
S1 S 0.0000 0.0000 0.6514
N1 N 0.0000 0.5000 0.3883
```